(1)
Entry from Alexandria via LeMat-Bulk: a geometry-optimized Tb2CdP3Rh12 structure (PBE-GGA).

Cell: 6.7002 6.7002 6.7002 Å, 83.62 83.62 83.62°
Sites, in units of the cell vectors:
Rh  0.9048  0.3701  0.3701
Rh  0.3352  0.8238  0.8238
Rh  0.3701  0.9048  0.3701
Rh  0.0952  0.6299  0.6299
Rh  0.6648  0.1762  0.1762
Rh  0.8238  0.3352  0.8238
Rh  0.6299  0.6299  0.0952
Rh  0.6299  0.0952  0.6299
Tb  0.3725  0.3725  0.3725
P  0.0000  0.5000  0.0000
Rh  0.3701  0.3701  0.9048
Rh  0.8238  0.8238  0.3352
Cd  0.0000  0.0000  0.0000
P  0.0000  0.0000  0.5000
Rh  0.1762  0.6648  0.1762
P  0.5000  0.0000  0.0000
Tb  0.6275  0.6275  0.6275
Rh  0.1762  0.1762  0.6648

Output
- calculated formation energy (meV per atom) = -258
- space group = R-3m

(2)
Entry from Alexandria via LeMat-Bulk: a geometry-optimized Th2CdP3Rh12 structure (PBE-GGA).

Cell: 6.8367 6.8367 6.8367 Å, 79.99 79.99 79.99°
Sites, in units of the cell vectors:
Rh  0.1709  0.6471  0.1709
P  0.5000  0.0000  0.0000
Rh  0.3529  0.8291  0.8291
Rh  0.1709  0.1709  0.6471
Rh  0.6501  0.0935  0.6501
Rh  0.3499  0.9065  0.3499
Rh  0.8291  0.8291  0.3529
Rh  0.6471  0.1709  0.1709
Th  0.6175  0.6175  0.6175
Rh  0.6501  0.6501  0.0935
Rh  0.8291  0.3529  0.8291
P  0.0000  0.0000  0.5000
Cd  0.0000  0.0000  0.0000
Rh  0.3499  0.3499  0.9065
P  0.0000  0.5000  0.0000
Th  0.3825  0.3825  0.3825
Rh  0.0935  0.6501  0.6501
Rh  0.9065  0.3499  0.3499

Output
- calculated formation energy (meV per atom) = -334
- space group = R-3m

(3)
Entry from Alexandria via LeMat-Bulk: a geometry-optimized Cd2PRu structure (PBE-GGA).

Cell: 7.4287 7.4287 7.4287 Å, 157.59 150.76 37.15°
Sites, in units of the cell vectors:
P  0.5000  0.0000  0.5000
Cd  0.1808  0.1808  0.0000
Ru  0.0000  0.5000  0.5000
Cd  0.8192  0.8192  0.0000

Output
- calculated formation energy (meV per atom) = -20
- space group = Immm

(4)
Entry from Alexandria via LeMat-Bulk: a geometry-optimized Cd2P2Ru structure (PBE-GGA).

Cell: 5.9909 5.9909 4.8915 Å, 90.00 90.00 90.00°
Sites, in units of the cell vectors:
Cd  0.6881  0.8119  0.5000
Cd  0.8119  0.3119  0.5000
Ru  0.5000  0.5000  0.0000
P  0.6327  0.1327  0.0000
Ru  0.0000  0.0000  0.0000
Cd  0.3119  0.1881  0.5000
P  0.8673  0.6327  0.0000
P  0.1327  0.3673  0.0000
P  0.3673  0.8673  0.0000
Cd  0.1881  0.6881  0.5000

Output
- calculated formation energy (meV per atom) = -77
- space group = P4/mbm

(5)
Entry from Alexandria via LeMat-Bulk: a geometry-optimized Cd2PRu structure (PBE-GGA).

Cell: 5.0555 5.0555 5.0555 Å, 132.42 132.42 69.56°
Sites, in units of the cell vectors:
Cd  0.2500  0.7500  0.5000
Ru  0.7500  0.2500  0.5000
P  0.5000  0.5000  0.0000
Cd  0.0000  0.0000  0.0000

Output
- calculated formation energy (meV per atom) = 365
- space group = I-4m2

(6)
Entry from Alexandria via LeMat-Bulk: a geometry-optimized CdPRu structure (PBE-GGA).

Cell: 4.8578 7.0090 7.0099 Å, 69.89 73.24 73.27°
Sites, in units of the cell vectors:
P  0.3738  0.0693  0.8213
Ru  0.1559  0.4099  0.6614
Cd  0.1931  0.6544  0.9090
Cd  0.8137  0.8405  0.5951
Ru  0.8494  0.0853  0.8370
Ru  0.8441  0.5901  0.3386
P  0.6292  0.4293  0.6816
Cd  0.8069  0.3456  0.0910
Ru  0.1506  0.9147  0.1630
P  0.6262  0.9307  0.1787
Cd  0.1863  0.1595  0.4049
P  0.3708  0.5707  0.3184

Output
- calculated formation energy (meV per atom) = -100
- space group = P-1

(7)
Entry from Alexandria via LeMat-Bulk: a geometry-optimized Cd2PRu structure (PBE-GGA).

Cell: 4.9020 4.9020 3.2617 Å, 90.00 90.00 115.84°
Sites, in units of the cell vectors:
Cd  0.5000  0.0000  0.0000
P  0.0000  0.0000  0.5000
Cd  0.0000  0.5000  0.0000
Ru  0.5000  0.5000  0.5000

Output
- calculated formation energy (meV per atom) = 378
- space group = Cmmm

(8)
Entry from Alexandria via LeMat-Bulk: a geometry-optimized Cd2PRu structure (PBE-GGA).

Cell: 5.4210 5.4210 3.6317 Å, 90.00 90.00 135.02°
Sites, in units of the cell vectors:
P  0.3091  0.6909  0.0000
Ru  0.4372  0.5628  0.5000
Cd  0.7215  0.2785  0.5000
Cd  0.0310  0.9690  0.0000

Output
- calculated formation energy (meV per atom) = -3
- space group = Amm2

(9)
Entry from Alexandria via LeMat-Bulk: a geometry-optimized Cd2PRu structure (PBE-GGA).

Cell: 3.2145 4.4922 4.9643 Å, 75.15 90.00 90.00°
Sites, in units of the cell vectors:
P  0.5000  0.0000  0.5000
Cd  0.0000  0.0000  0.0000
Ru  0.0000  0.5000  0.5000
Cd  0.5000  0.5000  0.0000

Output
- calculated formation energy (meV per atom) = 414
- space group = P2/m

(10)
Entry from Alexandria via LeMat-Bulk: a geometry-optimized Cd2PRu structure (PBE-GGA).

Cell: 4.6170 4.6170 4.6170 Å, 60.00 60.00 60.00°
Sites, in units of the cell vectors:
Cd  0.0000  0.0000  0.0000
Cd  0.7500  0.7500  0.7500
P  0.5000  0.5000  0.5000
Ru  0.2500  0.2500  0.2500

Output
- calculated formation energy (meV per atom) = 481
- space group = F-43m

(11)
Entry from Alexandria via LeMat-Bulk: a geometry-optimized CdPRu structure (PBE-GGA).

Cell: 3.0402 3.0402 6.4719 Å, 90.00 90.00 120.00°
Sites, in units of the cell vectors:
Cd  0.0000  0.0000  0.9840
P  0.3333  0.6667  0.3930
Ru  0.6667  0.3333  0.6230

Output
- calculated formation energy (meV per atom) = -140
- space group = P3m1

(12)
Entry from Alexandria via LeMat-Bulk: a geometry-optimized Cd4PRu structure (PBE-GGA).

Cell: 5.5180 5.5180 5.5180 Å, 60.00 60.00 60.00°
Sites, in units of the cell vectors:
Cd  0.3745  0.8764  0.3745
Ru  0.0000  0.0000  0.0000
P  0.7500  0.7500  0.7500
Cd  0.3745  0.3745  0.3745
Cd  0.8764  0.3745  0.3745
Cd  0.3745  0.3745  0.8764

Output
- calculated formation energy (meV per atom) = 623
- space group = F-43m